Material: AlSbW2O8
Method: DFT, PBE with a Hubbard U
State: optimized geometry

Properties
Total DFT energy (no corrections) in eV/cell: -85.288
N(E_F) in states/eV/atom: 0.00

Cell: 5.083 5.321 6.229 Å, 112.48 101.98 95.52°
Atoms (fractional coordinates):
Al 0.000 0.000 0.000
Sb 0.429 0.558 0.987
W 0.295 0.869 0.538
W 0.756 0.456 0.489
O 0.148 0.609 0.707
O 0.191 0.157 0.850
O 0.226 0.862 0.173
O 0.391 0.513 0.326
O 0.569 0.198 0.608
O 0.686 0.793 0.766
O 0.836 0.192 0.224
O 0.909 0.758 0.401